[1]
# BaTlCd2

Crystalline BaTlCd2 at its relaxed geometry (GGA-PBE, the Alexandria database).

Output
Crystal system: monoclinic
Total magnetization (μB/atom): 0.0000
Space-group type: No. 8
Electronic total energy (eV per atom): -1.772

Lattice parameters (Å, degrees): 8.6666 5.0127 6.7540 90.00 115.59 90.00
With the nearest neighbours (Å) after each atom.
Atoms (fractional coordinates):
Ba 0.0000 0.0000 0.0000  4 Tl 3.57-3.99, 7 Cd 3.68-3.91
Ba 0.5000 0.5000 0.0000  4 Tl 3.57-3.99, 7 Cd 3.68-3.91
Tl 0.2815 0.5000 0.3452  6 Cd 3.20-3.36, 2 Ba 3.57
Tl 0.7815 0.0000 0.3452  6 Cd 3.20-3.36, 2 Ba 3.57
Cd 0.0229 0.5000 0.5693  3 Cd 2.91, 3 Tl 3.20
Cd 0.2084 0.0000 0.6259  3 Cd 2.91
Cd 0.5229 0.0000 0.5693  3 Cd 2.91, 3 Tl 3.20
Cd 0.7084 0.5000 0.6259  3 Cd 2.91

=====

[2]
# Ba5TlCd2

Crystalline Ba5TlCd2 at its relaxed geometry (GGA-PBE, the Alexandria database).

Output
Crystal system: orthorhombic
Total magnetization (μB/atom): 0.0000
Space-group type: No. 55
Electronic total energy (eV per atom): -1.969

Lattice parameters (Å, degrees): 7.7286 14.9274 6.0782 90.00 90.00 90.00
With the nearest neighbours (Å) after each atom.
Atoms (fractional coordinates):
Ba 0.0000 0.0000 0.0000  4 Cd 3.78, 2 Tl 3.86, 2 Ba 4.17
Ba 0.1601 0.2829 0.0000  1 Tl 3.47, 2 Cd 3.65
Ba 0.1642 0.6057 0.5000  3 Cd 3.65-3.91, 2 Tl 3.65, 1 Ba 4.05
Ba 0.3358 0.1057 0.5000  3 Cd 3.65-3.91, 2 Tl 3.65, 1 Ba 4.05
Ba 0.3399 0.7829 0.0000  1 Tl 3.47, 2 Cd 3.65
Ba 0.5000 0.5000 0.0000  4 Cd 3.78, 2 Tl 3.86, 2 Ba 4.17
Ba 0.6601 0.2171 0.0000  1 Tl 3.47, 2 Cd 3.65
Ba 0.6642 0.8943 0.5000  3 Cd 3.65-3.91, 2 Tl 3.65, 1 Ba 4.05
Ba 0.8358 0.3943 0.5000  3 Cd 3.65-3.91, 2 Tl 3.65, 1 Ba 4.05
Ba 0.8399 0.7171 0.0000  1 Tl 3.47, 2 Cd 3.65
Tl 0.0000 0.5000 0.0000  8 Ba 3.47-3.86
Tl 0.5000 0.0000 0.0000  8 Ba 3.47-3.86
Cd 0.1326 0.8655 0.5000  7 Ba 3.65-3.91
Cd 0.3674 0.3655 0.5000  7 Ba 3.65-3.91
Cd 0.6326 0.6345 0.5000  7 Ba 3.65-3.91
Cd 0.8674 0.1345 0.5000  7 Ba 3.65-3.91

=====

[3]
# Ba6Tl5Cd

Crystalline Ba6Tl5Cd at its relaxed geometry (GGA-PBE, the Alexandria database).

Output
Crystal system: orthorhombic
Total magnetization (μB/atom): 0.0000
Space-group type: No. 65
Electronic total energy (eV per atom): -2.417

Lattice parameters (Å, degrees): 9.5802 9.5802 8.6205 90.00 90.00 143.19
With the nearest neighbours (Å) after each atom.
Atoms (fractional coordinates):
Ba 0.0000 0.0000 0.2482  2 Cd 3.71, 6 Tl 3.71-3.75
Ba 0.0000 0.0000 0.7518  2 Cd 3.71, 6 Tl 3.71-3.75
Ba 0.3340 0.6660 0.2506  7 Tl 3.69-3.74, 1 Cd 3.71
Ba 0.3340 0.6660 0.7494  7 Tl 3.69-3.74, 1 Cd 3.71
Ba 0.6660 0.3340 0.2506  7 Tl 3.69-3.74, 1 Cd 3.71
Ba 0.6660 0.3340 0.7494  7 Tl 3.69-3.74, 1 Cd 3.71
Tl 0.1653 0.8347 0.5000  8 Ba 3.71-3.74
Tl 0.1691 0.8309 0.0000  8 Ba 3.69-3.75
Tl 0.5000 0.5000 0.5000  8 Ba 3.71-3.72
Tl 0.8309 0.1691 0.0000  8 Ba 3.69-3.75
Tl 0.8347 0.1653 0.5000  8 Ba 3.71-3.74
Cd 0.5000 0.5000 0.0000  8 Ba 3.71